Computed, not measured: Li2PrZnAg4 after structural relaxation at the PBE level of DFT.

a = 4.5313 Å, b = 4.5313 Å, c = 26.6126 Å
α = 90.00°, β = 90.00°, γ = 120.00°
Last column: nearest neighbours and their distance in Å.
Space group R-3m (No. 166, hexagonal axes)
Unique sites:
Li 0.0000 0.0000 0.2343 x6  7 Ag 2.73-2.81
Pr 0.0000 0.0000 0.0000 x3  8 Ag 3.19-3.43
Zn 0.0000 0.0000 0.5000 x3  8 Ag 2.61-2.80
Ag 0.0000 0.0000 0.1287 x6  4 Li 2.73-2.81, 3 Zn 2.80
Ag 0.0000 0.0000 0.4018 x6  1 Zn 2.61, 3 Li 2.74

Properties
- total DFT energy (no corrections) (eV/atom) = -2.83
- formation energy from the elements (eV/atom) = -0.165
- M_tot (Bohr magnetons per cell) = 0.0
- D(E_F) (states/eV per cell) = 11.00



Computed, not measured: Pm3TlO2 after structural relaxation at the PBE level of DFT.

a = 3.9670 Å, b = 11.3744 Å, c = 6.6164 Å
α = 90.00°, β = 90.00°, γ = 90.00°
Last column: nearest neighbours and their distance in Å.
Space group Pmmn (No. 59, origin choice 2)
Unique sites:
Pm 0.2500 0.0358 0.2203 x4  3 O 2.31-2.33
Pm 0.2500 0.2500 0.7713 x2  2 O 2.29
Tl 0.2500 0.7500 0.6193 x2  6 Pm 3.26-3.32
O 0.2500 0.0575 0.8727 x4  4 Pm 2.29-2.33

Properties
- total DFT energy (no corrections) (eV/atom) = -6.45
- ΔE_f (raw) (eV/atom) = -2.03
- M_tot (Bohr magnetons per cell) = 0.0
- D(E_F) (states/eV per cell) = 2.35



Computed, not measured: MnRh2Br after structural relaxation at the PBE level of DFT.

a = 3.1349 Å, b = 3.4036 Å, c = 6.7341 Å
α = 90.00°, β = 90.00°, γ = 90.00°
Last column: nearest neighbours and their distance in Å.
Space group Pmm2 (No. 25)
Unique sites:
Mn 0.0000 0.0000 0.0000 x1  5 Rh 2.65-2.78, 4 Br 2.88
Rh 0.0000 0.0000 0.3936 x1  4 Rh 2.56, 1 Mn 2.65
Rh 0.5000 0.5000 0.2292 x1  4 Rh 2.56, 4 Mn 2.78
Br 0.5000 0.5000 0.7447 x1  4 Mn 2.88, 2 Br 3.13

Properties
- ΔE to the lowest computed polymorph (meV per atom) = 84
- total DFT energy (no corrections) (eV/atom) = -6.08
- ΔE_f (raw) (eV/atom) = 0.31
- M_tot (Bohr magnetons per cell) = 4.6
- D(E_F) (states/eV per cell) = 4.78



Computed, not measured: ErLuRuRh after structural relaxation at the PBE level of DFT.

a = 6.7169 Å, b = 6.7169 Å, c = 6.7169 Å
α = 90.00°, β = 90.00°, γ = 90.00°
Last column: nearest neighbours and their distance in Å.
Space group F-43m (No. 216)
Unique sites:
Er 0.0000 0.0000 0.0000 x4  4 Ru 2.91, 4 Rh 2.91
Lu 0.0000 0.0000 0.5000 x4  4 Rh 2.91, 4 Ru 2.91
Ru 0.2500 0.2500 0.2500 x4  4 Lu 2.91, 4 Er 2.91
Rh 0.2500 0.2500 0.7500 x4  4 Er 2.91, 4 Lu 2.91

Properties
- total DFT energy (no corrections) (eV/atom) = -7.16
- formation energy from the elements (eV/atom) = -0.737
- M_tot (Bohr magnetons per cell) = 0.0
- D(E_F) (states/eV per cell) = 5.21



> Which of these has the lowest total DFT energy (no corrections)?

ErLuRuRh



> What is the formula in the second record?

Pm3TlO2



> M_tot of number 4 (ErLuRuRh)?

0.0 Bohr magnetons per cell